No. 1
Material: SrRe2Si
Method: DFT, SCAN
State: PBEsol geometry

Output
- Density of states at the Fermi level: 0.8045 states/eV per atom
- Formation energy (no corrections): 0.929 eV/atom
- V: 16.9 Å³ per atom
- Total magnetization: 0.00 Bohr magnetons per cell

Unit cell a=6.4714 b=6.4714 c=6.4714 alpha=90.00 beta=90.00 gamma=90.00
With the nearest neighbours (Å) after each atom.
Space group F-43m (No. 216)
Symmetry-distinct sites (fractional):
Sr1 0.0000 0.0000 0.0000 [4 per cell]  4 Re 2.80, 4 Si 2.80
Re1 0.0000 0.0000 0.5000 [4 per cell]  4 Re 2.80, 4 Si 2.80
Re2 0.2500 0.2500 0.2500 [4 per cell]  4 Re 2.80, 4 Sr 2.80
Si1 0.2500 0.2500 0.7500 [4 per cell]  4 Re 2.80, 4 Sr 2.80

No. 2
Material: SrReSi4
Method: DFT, SCAN
State: PBEsol geometry

Output
- Density of states at the Fermi level: 0.6768 states/eV per atom
- Formation energy (no corrections): 0.760 eV/atom
- V: 16.2 Å³ per atom
- Total magnetization: 6.11 Bohr magnetons per cell

Unit cell a=7.3011 b=7.3011 c=7.3011 alpha=90.00 beta=90.00 gamma=90.00
With the nearest neighbours (Å) after each atom.
Space group F-43m (No. 216)
Symmetry-distinct sites (fractional):
Sr1 0.0000 0.0000 0.0000 [4 per cell]  12 Si 3.03, 4 Re 3.16
Re1 0.2500 0.2500 0.2500 [4 per cell]  12 Si 3.02, 4 Sr 3.16
Si1 0.1215 0.1215 0.6215 [16 per cell]  6 Si 2.51-2.65

No. 3
Material: SrReSi
Method: DFT, SCAN
State: PBEsol geometry

Output
- Density of states at the Fermi level: 1.4775 states/eV per atom
- Formation energy (no corrections): 0.916 eV/atom
- V: 21.2 Å³ per atom
- Total magnetization: 0.89 Bohr magnetons per cell

Unit cell a=6.3393 b=6.3393 c=6.3393 alpha=90.00 beta=90.00 gamma=90.00
With the nearest neighbours (Å) after each atom.
Space group F-43m (No. 216)
Symmetry-distinct sites (fractional):
Sr1 0.0000 0.0000 0.0000 [4 per cell]  4 Si 2.74
Re1 0.0000 0.0000 0.5000 [4 per cell]  4 Si 2.74
Si1 0.2500 0.2500 0.2500 [4 per cell]  4 Re 2.74, 4 Sr 2.74

No. 4
Material: Ta2ReSi
Method: DFT, SCAN
State: PBEsol geometry

Output
- Density of states at the Fermi level: 1.0931 states/eV per atom
- Formation energy (no corrections): 0.119 eV/atom
- V: 15.9 Å³ per atom
- Total magnetization: 0.00 Bohr magnetons per cell

Unit cell a=2.8717 b=2.8717 c=26.6657 alpha=90.00 beta=90.00 gamma=120.00
With the nearest neighbours (Å) after each atom.
Space group R3m (No. 160, hexagonal axes)
Symmetry-distinct sites (fractional):
Ta1 0.0000 0.0000 0.0000 [3 per cell]  3 Re 2.83, 9 Ta 2.87-3.01
Ta2 0.0000 0.0000 0.2392 [3 per cell]  3 Si 2.74, 9 Ta 2.87-3.01
Re1 0.0000 0.0000 0.7528 [3 per cell]  3 Si 2.52
Si1 0.0000 0.0000 0.4907 [3 per cell]  3 Re 2.52, 3 Ta 2.74

No. 5
Material: Ta2ReSi
Method: DFT, SCAN
State: PBEsol geometry

Output
- Density of states at the Fermi level: 1.1689 states/eV per atom
- Formation energy (no corrections): 0.022 eV/atom
- V: 15.7 Å³ per atom
- Total magnetization: 0.01 Bohr magnetons per cell

Unit cell a=2.7816 b=2.7816 c=8.0938 alpha=90.00 beta=90.00 gamma=90.00
With the nearest neighbours (Å) after each atom.
Space group P4/mmm (No. 123)
Symmetry-distinct sites (fractional):
Ta1 0.0000 0.0000 0.2385 [2 per cell]  4 Si 2.76, 4 Ta 2.78, 4 Re 2.89
Re1 0.5000 0.5000 0.5000 [1 per cell]  4 Re 2.78, 8 Ta 2.89
Si1 0.5000 0.5000 0.0000 [1 per cell]  8 Ta 2.76, 4 Si 2.78

No. 6
Material: ReSiTc2
Method: DFT, SCAN
State: PBEsol geometry

Output
- Density of states at the Fermi level: 0.5862 states/eV per atom
- Formation energy (no corrections): -0.263 eV/atom
- V: 13.5 Å³ per atom
- Total magnetization: 0.00 Bohr magnetons per cell

Unit cell a=2.9345 b=4.3037 c=8.5614 alpha=90.00 beta=90.00 gamma=90.00
With the nearest neighbours (Å) after each atom.
Space group Imm2 (No. 44)
Symmetry-distinct sites (fractional):
Re1 0.0000 0.0000 0.0000 [2 per cell]  2 Si 2.49, 6 Tc 2.62-2.70
Si1 0.0000 0.5000 0.7355 [2 per cell]  6 Tc 2.47-2.60, 2 Re 2.49
Tc1 0.0000 0.0000 0.4670 [2 per cell]  2 Si 2.47, 4 Re 2.62, 2 Tc 2.72
Tc2 0.0000 0.5000 0.2349 [2 per cell]  4 Si 2.60, 2 Re 2.70, 2 Tc 2.72

No. 7
Material: ReSiTc2
Method: DFT, SCAN
State: PBEsol geometry

Output
- Density of states at the Fermi level: 0.6191 states/eV per atom
- Formation energy (no corrections): -0.131 eV/atom
- V: 13.8 Å³ per atom
- Total magnetization: 0.00 Bohr magnetons per cell

Unit cell a=2.7975 b=3.9280 c=5.0118 alpha=90.00 beta=90.00 gamma=90.00
With the nearest neighbours (Å) after each atom.
Space group Pmmm (No. 47)
Symmetry-distinct sites (fractional):
Re1 0.0000 0.0000 0.0000 [1 per cell]  2 Si 2.51, 8 Tc 2.74, 2 Re 2.80
Si1 0.0000 0.0000 0.5000 [1 per cell]  2 Re 2.51, 8 Tc 2.69, 2 Si 2.80
Tc1 0.5000 0.5000 0.2611 [2 per cell]  2 Tc 2.39-2.62

No. 8
Material: ReSi2Tc
Method: DFT, SCAN
State: PBEsol geometry

Output
- Density of states at the Fermi level: 0.5966 states/eV per atom
- Offset from the most stable computed form: 399 meV per atom
- Formation energy (no corrections): 0.004 eV/atom
- V: 13.7 Å³ per atom
- Total magnetization: 0.00 Bohr magnetons per cell

Unit cell a=5.6363 b=7.7296 c=2.8114 alpha=90.00 beta=116.78 gamma=90.00
With the nearest neighbours (Å) after each atom.
Space group C2/m (No. 12)
Symmetry-distinct sites (fractional):
Re1 0.0000 0.0000 0.0000 [2 per cell]  4 Si 2.43
Si1 0.2500 0.2500 0.5000 [4 per cell]  2 Re 2.43, 2 Tc 2.43
Tc1 0.0000 0.5000 0.0000 [2 per cell]  4 Si 2.43

No. 9
Material: ReSiTc2
Method: DFT, SCAN
State: PBEsol geometry

Output
- Density of states at the Fermi level: 0.7464 states/eV per atom
- Formation energy (no corrections): 0.023 eV/atom
- V: 13.9 Å³ per atom
- Total magnetization: 0.00 Bohr magnetons per cell

Unit cell a=5.0311 b=7.8366 c=2.8122 alpha=90.00 beta=90.00 gamma=90.00
With the nearest neighbours (Å) after each atom.
Space group Cmmm (No. 65)
Symmetry-distinct sites (fractional):
Re1 0.0000 0.0000 0.0000 [2 per cell]  2 Si 2.52, 8 Tc 2.72, 2 Re 2.81
Si1 0.0000 0.5000 0.0000 [2 per cell]  2 Re 2.52, 8 Tc 2.72, 2 Si 2.81
Tc1 0.2500 0.2500 0.5000 [4 per cell]  4 Tc 2.52-2.81, 4 Re 2.72, 4 Si 2.72

No. 10
Material: ReSi2Tc
Method: DFT, SCAN
State: PBEsol geometry

Output
- Density of states at the Fermi level: 0.4704 states/eV per atom
- Offset from the most stable computed form: 0 meV per atom
- Formation energy (no corrections): -0.395 eV/atom
- V: 13.2 Å³ per atom
- Total magnetization: 0.00 Bohr magnetons per cell

Unit cell a=3.0882 b=3.0882 c=5.5239 alpha=90.00 beta=90.00 gamma=90.00
With the nearest neighbours (Å) after each atom.
Space group P4mm (No. 99)
Symmetry-distinct sites (fractional):
Re1 0.0000 0.0000 0.0000 [1 per cell]  5 Si 2.47-2.55
Si1 0.0000 0.0000 0.4625 [1 per cell]  4 Tc 2.46, 1 Re 2.55, 4 Si 2.60
Si2 0.5000 0.5000 0.2080 [1 per cell]  4 Re 2.47, 1 Tc 2.53, 4 Si 2.60
Tc1 0.5000 0.5000 0.6668 [1 per cell]  5 Si 2.46-2.53

No. 11
Material: ReSiTc2
Method: DFT, SCAN
State: PBEsol geometry

Output
- Density of states at the Fermi level: 0.8024 states/eV per atom
- Formation energy (no corrections): 0.145 eV/atom
- V: 13.9 Å³ per atom
- Total magnetization: 0.00 Bohr magnetons per cell

Unit cell a=2.9244 b=4.5639 c=8.3212 alpha=90.00 beta=90.00 gamma=90.00
With the nearest neighbours (Å) after each atom.
Space group Cmm2 (No. 35)
Symmetry-distinct sites (fractional):
Re1 0.0000 0.0000 0.0000 [2 per cell]  2 Si 2.48, 2 Tc 2.64, 4 Re 2.71
Si1 0.0000 0.5000 0.2414 [2 per cell]  2 Tc 2.42, 2 Re 2.48
Tc1 0.0000 0.0000 0.4729 [2 per cell]  2 Si 2.42, 2 Tc 2.64
Tc2 0.0000 0.5000 0.7365 [2 per cell]  8 Tc 2.64-2.92, 2 Re 2.64

No. 12
Material: ReSi2Tc
Method: DFT, SCAN
State: PBEsol geometry

Output
- Density of states at the Fermi level: 0.6106 states/eV per atom
- Offset from the most stable computed form: 408 meV per atom
- Formation energy (no corrections): 0.013 eV/atom
- V: 13.7 Å³ per atom
- Total magnetization: 0.00 Bohr magnetons per cell

Unit cell a=2.9250 b=3.8883 c=4.8117 alpha=90.00 beta=90.00 gamma=90.00
With the nearest neighbours (Å) after each atom.
Space group Pmmm (No. 47)
Symmetry-distinct sites (fractional):
Re1 0.0000 0.0000 0.0000 [1 per cell]  4 Si 2.43
Si1 0.0000 0.5000 0.5000 [1 per cell]  4 Tc 2.43
Si2 0.5000 0.5000 0.0000 [1 per cell]  4 Re 2.43
Tc1 0.5000 0.0000 0.5000 [1 per cell]  4 Si 2.43